Entry 1:
Below is an optimized crystal structure of CsTaAl3, with properties calculated at the GGA-PBE level.

Crystal system: cubic

The structure in POSCAR format:
```
CsTaAl3
1.0
5.3066 0.0000 0.0000
0.0000 5.3066 0.0000
0.0000 0.0000 5.3066
Cs Ta Al
1 1 3
Direct
0.0000 0.0000 0.0000
0.5000 0.5000 0.5000
0.0000 0.0000 0.5000
0.0000 0.5000 0.0000
0.5000 0.0000 0.0000
```

Entry 2:
Below is an optimized crystal structure of DyEr3Co2, with properties calculated at the GGA-PBE level.

Crystal system: monoclinic
Polymorph energy (0 for the lowest one) in eV/atom: 0.0000

The structure in POSCAR format:
```
DyEr3Co2
1.0
8.1148 -1.8647 0.0000
8.1148 1.8647 0.0000
-6.3809 0.0000 9.5093
Dy Er Co
2 6 4
Direct
0.1586 0.1586 0.2454
0.8414 0.8414 0.7546
0.1590 0.1590 0.7464
0.4157 0.4157 0.0614
0.4161 0.4161 0.5584
0.5839 0.5839 0.4416
0.5843 0.5843 0.9386
0.8410 0.8410 0.2536
0.2326 0.2326 0.0478
0.2332 0.2332 0.5487
0.7668 0.7668 0.4513
0.7674 0.7674 0.9522
```

The evaluated ΔE_f for the records listed, in turn: 2.6120, -0.1752 eV/atom.
The evaluated total DFT energy (no corrections) for the records listed, in turn: -10.9, -67.1 eV for the cell shown.